Crystalline BaRhSN2 at its relaxed geometry, computed with PBE-GGA.

Its energy relative to the elements, uncorrected is 0.27 eV per atom. The calculation puts the size of the total moment at 1.262 μB per cell. The value obtained for the energy above the lowest structure with this stoichiometry is 0.000 eV/atom. The symmetry is P4/mmm (123).

abc: 4.1163 4.1163 5.0610
angles: 90.00 90.00 90.00
Last column: nearest neighbours and their distance in Å.
Element x y z (fractional)
S 0.0000 0.0000 0.5000  2 Rh 2.53
Rh 0.0000 0.0000 0.0000  4 N 2.06
Ba 0.5000 0.5000 0.5000  4 S 2.91
N 0.0000 0.5000 0.0000  2 Rh 2.06
N 0.5000 0.0000 0.0000  2 Rh 2.06

Crystalline SbRuPt2 at its relaxed geometry, computed with PBE-GGA.

Its energy relative to the elements, uncorrected is 0.03 eV per atom. The calculation puts the size of the total moment at 0.001 μB per cell. The symmetry is Cm (8).

abc: 4.7019 4.7019 4.7990
angles: 76.67 76.67 40.96
Last column: nearest neighbours and their distance in Å.
Element x y z (fractional)
Pt 0.9980 0.9980 0.9871  3 Pt 2.70-2.77, 3 Sb 2.80-2.83, 4 Ru 2.83-2.99
Pt 0.7498 0.7498 0.7501  3 Pt 2.70-2.77, 3 Ru 2.71-2.79, 4 Sb 2.88-2.94
Ru 0.5035 0.5035 0.5048  7 Pt 2.71-2.99, 3 Sb 2.74-2.78
Sb 0.2488 0.2488 0.2580  3 Ru 2.74-2.78, 7 Pt 2.80-2.94

Crystalline La2CoN at its relaxed geometry, computed with PBE-GGA.

Its energy relative to the elements, uncorrected is -0.55 eV per atom. The calculation puts the size of the total moment at 0.000 μB per cell. The symmetry is Pm (6).

abc: 3.6543 5.1045 4.9941
angles: 90.00 105.11 90.00
Last column: nearest neighbours and their distance in Å.
Element x y z (fractional)
La 0.6335 0.0000 0.3350  2 N 2.56
La 0.9674 0.5000 0.8595  2 Co 2.55-2.64, 3 N 2.74-2.81
Co 0.1707 0.5000 0.4078  2 N 1.88-1.92
N 0.6274 0.5000 0.3007  2 Co 1.88-1.92

Crystalline Rb12Cd3Ag5 at its relaxed geometry, computed with PBE-GGA.

Its calculated formation energy is 160.1 meV/atom. The calculation puts the size of the total moment at 0.015 μB per cell. The symmetry is Ia-3d (230).

abc: 18.7345 18.7345 18.7345
angles: 109.47 109.47 109.47
Last column: nearest neighbours and their distance in Å.
Element x y z (fractional)
Cd 0.7500 0.3750 0.1250  8 Rb 4.01-4.13
Cd 0.8750 0.7500 0.1250  8 Rb 4.01-4.13
Cd 0.3750 0.7500 0.6250  8 Rb 4.01-4.13
Cd 0.2500 0.1250 0.3750  8 Rb 4.01-4.13
Cd 0.8750 0.1250 0.2500  8 Rb 4.01-4.13
Cd 0.3750 0.6250 0.2500  8 Rb 4.01-4.13
Cd 0.6250 0.3750 0.7500  8 Rb 4.01-4.13
Cd 0.1250 0.8750 0.7500  8 Rb 4.01-4.13
Cd 0.7500 0.8750 0.6250  8 Rb 4.01-4.13
Cd 0.6250 0.2500 0.3750  8 Rb 4.01-4.13
Cd 0.1250 0.2500 0.8750  8 Rb 4.01-4.13
Cd 0.2500 0.6250 0.8750  8 Rb 4.01-4.13
Ag 0.1250 0.3750 0.2500  4 Rb 3.42
Ag 0.0000 0.5000 0.0000  6 Rb 3.60
Ag 0.0000 0.0000 0.0000  6 Rb 3.60
Ag 0.3750 0.2500 0.1250  4 Rb 3.42
Ag 0.5000 0.0000 0.5000  6 Rb 3.60
Ag 0.5000 0.5000 0.0000  6 Rb 3.60
Ag 0.1250 0.7500 0.3750  4 Rb 3.42
Ag 0.7500 0.1250 0.8750  4 Rb 3.42
Ag 0.7500 0.6250 0.3750  4 Rb 3.42
Ag 0.3750 0.1250 0.7500  4 Rb 3.42
Ag 0.6250 0.8750 0.2500  4 Rb 3.42
Ag 0.5000 0.5000 0.5000  6 Rb 3.60
Ag 0.5000 0.0000 0.0000  6 Rb 3.60
Ag 0.0000 0.0000 0.5000  6 Rb 3.60
Ag 0.2500 0.3750 0.6250  4 Rb 3.42
Ag 0.2500 0.8750 0.1250  4 Rb 3.42
Ag 0.0000 0.5000 0.5000  6 Rb 3.60
Ag 0.8750 0.2500 0.6250  4 Rb 3.42
Ag 0.6250 0.7500 0.8750  4 Rb 3.42
Ag 0.8750 0.6250 0.7500  4 Rb 3.42
Rb 0.7179 0.1270 0.0447  2 Ag 3.42-3.60
Rb 0.3268 0.5447 0.4177  2 Ag 3.42-3.60
Rb 0.9553 0.3730 0.2821  2 Ag 3.42-3.60
Rb 0.5447 0.2179 0.1270  2 Ag 3.42-3.60
Rb 0.5909 0.7179 0.6732  2 Ag 3.42-3.60
Rb 0.9553 0.5823 0.1732  2 Ag 3.42-3.60
Rb 0.3268 0.7821 0.4091  2 Ag 3.42-3.60
Rb 0.0823 0.9091 0.1270  2 Ag 3.42-3.60
Rb 0.5823 0.9553 0.6732  2 Ag 3.42-3.60
Rb 0.7179 0.5909 0.1732  2 Ag 3.42-3.60
Rb 0.7821 0.4553 0.3730  2 Ag 3.42-3.60
Rb 0.8268 0.9177 0.0447  2 Ag 3.42-3.60
Rb 0.1270 0.7179 0.5447  2 Ag 3.42-3.60
Rb 0.3730 0.4177 0.0909  2 Ag 3.42-3.60
Rb 0.0909 0.9177 0.3730  2 Ag 3.42-3.60
Rb 0.4091 0.1270 0.5823  2 Ag 3.42-3.60
Rb 0.0909 0.1732 0.2179  2 Ag 3.42-3.60
Rb 0.4553 0.6732 0.0823  2 Ag 3.42-3.60
Rb 0.8268 0.9091 0.2821  2 Ag 3.42-3.60
Rb 0.1270 0.4091 0.0823  2 Ag 3.42-3.60
Rb 0.3730 0.9553 0.7821  2 Ag 3.42-3.60
Rb 0.5823 0.6270 0.4091  2 Ag 3.42-3.60
Rb 0.9177 0.8268 0.5447  2 Ag 3.42-3.60
Rb 0.7821 0.3268 0.9091  2 Ag 3.42-3.60
Rb 0.4177 0.3730 0.5909  2 Ag 3.42-3.60
Rb 0.0823 0.1732 0.4553  2 Ag 3.42-3.60
Rb 0.2179 0.6732 0.0909  2 Ag 3.42-3.60
Rb 0.1732 0.0909 0.7179  2 Ag 3.42-3.60
Rb 0.6270 0.0447 0.2179  2 Ag 3.42-3.60
Rb 0.8730 0.5909 0.9177  2 Ag 3.42-3.60
Rb 0.5447 0.3268 0.9177  2 Ag 3.42-3.60
Rb 0.5909 0.8730 0.4177  2 Ag 3.42-3.60
Rb 0.9091 0.8268 0.7821  2 Ag 3.42-3.60
Rb 0.9091 0.0823 0.6270  2 Ag 3.42-3.60
Rb 0.8730 0.2821 0.4553  2 Ag 3.42-3.60
Rb 0.1732 0.0823 0.9553  2 Ag 3.42-3.60
Rb 0.6270 0.5823 0.9091  2 Ag 3.42-3.60
Rb 0.4177 0.0447 0.3268  2 Ag 3.42-3.60
Rb 0.2821 0.4091 0.8268  2 Ag 3.42-3.60
Rb 0.2179 0.5447 0.6270  2 Ag 3.42-3.60
Rb 0.9177 0.0909 0.8730  2 Ag 3.42-3.60
Rb 0.6732 0.2179 0.5909  2 Ag 3.42-3.60
Rb 0.4553 0.7821 0.8730  2 Ag 3.42-3.60
Rb 0.0447 0.4177 0.8268  2 Ag 3.42-3.60
Rb 0.4091 0.2821 0.3268  2 Ag 3.42-3.60
Rb 0.0447 0.6270 0.7179  2 Ag 3.42-3.60
Rb 0.6732 0.4553 0.5823  2 Ag 3.42-3.60
Rb 0.2821 0.8730 0.9553  2 Ag 3.42-3.60

Number 2 is which compound?
SbRuPt2